Tm2NbRe3 | GGA-PBE | optimized geometry

Values from the calculation:
The value obtained for the total energy is -9.612 eV per atom. Its density of states at the Fermi level is 4.0 states/eV/cell.

Lattice parameters (Å, degrees): 5.413 5.413 5.501 90.03 119.48 119.96
Element x y z (fractional)
Tm1 0.755 0.378 0.133
Tm2 0.245 0.622 0.867
Nb1 0.000 0.000 0.000
Re1 0.500 0.500 0.500
Re2 0.000 0.000 0.500
Re3 0.500 0.000 0.500